DFT (PBE) results for a geometry-optimized Zr4PaIn5 structure.

## Properties
Calculated total energy ... -5.9947 eV/atom
M_tot ... 0.51 μB per formula unit

a = 3.138 Å, b = 3.138 Å, c = 22.977 Å
α = 90.00°, β = 90.00°, γ = 90.00°
Space group P4/mmm (No. 123)
Unique sites:
Zr1 0.000 0.000 0.098 x2
Zr2 0.000 0.000 0.292 x2
Pa1 0.000 0.000 0.500 x1
In1 0.500 0.500 0.000 x1
In2 0.500 0.500 0.195 x2
In3 0.500 0.500 0.390 x2



DFT (PBE) results for a geometry-optimized SrTbAg2 structure.

## Properties
Calculated total energy ... -3.2899 eV/atom
M_tot ... 0.00 μB per formula unit

a = 3.775 Å, b = 3.775 Å, c = 7.654 Å
α = 90.00°, β = 90.00°, γ = 90.00°
Space group P4/mmm (No. 123)
Unique sites:
Sr1 0.000 0.000 0.000 x1
Tb1 0.000 0.000 0.500 x1
Ag1 0.500 0.500 0.290 x2



DFT (PBE) results for a geometry-optimized KCu2Sb structure.

## Properties
Uncorrected formation energy ... 435 meV/atom
M_tot ... 0.00 μB per formula unit

a = 6.938 Å, b = 9.175 Å, c = 3.067 Å
α = 90.00°, β = 114.35°, γ = 90.00°
Space group C2/m (No. 12)
Unique sites:
K1 0.000 0.000 0.000 x2
Cu1 0.250 0.250 0.000 x4
Sb1 0.000 0.500 0.000 x2



- Which formula does entry 1 have?
  Zr4PaIn5



Copy entry 1 word for word.
DFT (PBE) results for a geometry-optimized Zr4PaIn5 structure.

## Properties
Calculated total energy ... -5.9947 eV/atom
M_tot ... 0.51 μB per formula unit

a = 3.138 Å, b = 3.138 Å, c = 22.977 Å
α = 90.00°, β = 90.00°, γ = 90.00°
Space group P4/mmm (No. 123)
Unique sites:
Zr1 0.000 0.000 0.098 x2
Zr2 0.000 0.000 0.292 x2
Pa1 0.000 0.000 0.500 x1
In1 0.500 0.500 0.000 x1
In2 0.500 0.500 0.195 x2
In3 0.500 0.500 0.390 x2



- M_tot of number 1 (Zr4PaIn5)?
  0.51 μB per formula unit